# 1
# CdCuRh2 | the Alexandria database | PBE-GGA | optimized geometry
data_CdCuRh2
_chemical_formula_sum 'Cd4 Cu4 Rh8'
_cell_length_a 6.265
_cell_length_b 6.265
_cell_length_c 6.265
_cell_angle_alpha 90.00
_cell_angle_beta 90.00
_cell_angle_gamma 90.00
_symmetry_space_group_name_H-M 'F -4 3 m'
_symmetry_Int_Tables_number 216
_symmetry_space_group_name_Hall 'F -4 2 3'
loop_
_atom_site_label
_atom_site_type_symbol
_atom_site_fract_x
_atom_site_fract_y
_atom_site_fract_z
_atom_site_occupancy
Cd1 Cd 0.000 0.000 0.000 1
Cu1 Cu 0.250 0.250 0.750 1
Rh1 Rh 0.000 0.000 0.500 1
Rh2 Rh 0.250 0.250 0.250 1
# - Energy relative to the elements: 0.132 eV per atom
# - Density of states at the Fermi level: 1.025 states/eV/atom
# - Volume: 15.37 Å³ per atom
# - Crystal system: cubic

---

# 2
# CdCuRh4 | the Alexandria database | PBE-GGA | optimized geometry
data_CdCuRh4
_chemical_formula_sum 'Cd4 Cu4 Rh16'
_cell_length_a 7.290
_cell_length_b 7.290
_cell_length_c 7.290
_cell_angle_alpha 90.00
_cell_angle_beta 90.00
_cell_angle_gamma 90.00
_symmetry_space_group_name_H-M 'F -4 3 m'
_symmetry_Int_Tables_number 216
_symmetry_space_group_name_Hall 'F -4 2 3'
loop_
_atom_site_label
_atom_site_type_symbol
_atom_site_fract_x
_atom_site_fract_y
_atom_site_fract_z
_atom_site_occupancy
Cd1 Cd 0.000 0.000 0.000 1
Cu1 Cu 0.250 0.250 0.250 1
Rh1 Rh 0.125 0.125 0.625 1
# - Energy relative to the elements: 0.281 eV per atom
# - Density of states at the Fermi level: 1.895 states/eV/atom
# - Volume: 16.14 Å³ per atom
# - Crystal system: cubic

---

# 3
# CdCuRh2 | the Alexandria database | PBE-GGA | optimized geometry
data_CdCuRh2
_chemical_formula_sum 'Cd2 Cu2 Rh4'
_cell_length_a 2.919
_cell_length_b 4.675
_cell_length_c 8.951
_cell_angle_alpha 90.00
_cell_angle_beta 90.00
_cell_angle_gamma 90.00
_symmetry_space_group_name_H-M 'C m m m'
_symmetry_Int_Tables_number 65
_symmetry_space_group_name_Hall '-C 2 2'
loop_
_atom_site_label
_atom_site_type_symbol
_atom_site_fract_x
_atom_site_fract_y
_atom_site_fract_z
_atom_site_occupancy
Cd1 Cd 0.000 0.000 0.000 1
Cu1 Cu 0.000 0.000 0.500 1
Rh1 Rh 0.000 0.500 0.266 1
# - Energy relative to the elements: 0.164 eV per atom
# - Density of states at the Fermi level: 1.725 states/eV/atom
# - Volume: 15.27 Å³ per atom
# - Crystal system: orthorhombic

---

Which of these has the lowest energy relative to the elements?
number 1

---

Which of these has the highest volume?
CdCuRh4

---

Which formula does entry 2 have?
CdCuRh4

---

Look up the volume of the first one.
15.37 Å³ per atom